MgZrTl2 after structural relaxation, computed with GGA-PBE.

Cell lengths 10.611, 10.611, 10.611 Å; angles 18.12, 18.12, 18.12 degrees
Atoms (fractional coordinates):
Mg 0.000 0.000 0.000
Zr 0.746 0.746 0.746
Tl 0.250 0.250 0.250
Tl 0.495 0.495 0.495

Calculated values
crystal system	trigonal
ΔE_f	0.0818	eV per atom
N(E_F)	4.48	states/eV/cell
symmetry	R3m (160)